Version P
Computed, not measured: crystalline CsYBr4 at its relaxed geometry at the PBE level of DFT.

POSCAR file:
```
CsYBr4
1.0
-4.336 5.862 1.556
-2.423 0.192 -7.477
-4.361 -5.889 5.395
Br Y Cs
8 2 2
Direct
0.580 0.382 0.201 Br
0.811 0.308 0.615 Br
0.420 0.618 0.799 Br
0.000 0.745 0.000 Br
0.420 0.181 0.799 Br
0.000 0.255 0.000 Br
0.580 0.819 0.201 Br
0.189 0.692 0.385 Br
0.283 0.534 0.068 Y
0.717 0.466 0.932 Y
0.249 0.205 0.409 Cs
0.751 0.795 0.591 Cs
```

Values from the calculation:
Volume = 477.7 Å³ per cell
Symmetry = No. 12
Total magnetization = 0.000 μB per atom
DOS at the Fermi energy = 0.00 states/eV per cell


Version Q
Computed, not measured: crystalline CsYBr4 at its relaxed geometry at the PBE level of DFT.

POSCAR file:
```
CsYBr4
1.0
5.725 0.000 0.000
0.000 8.243 0.000
-2.862 0.000 10.660
Br Cs Y
8 2 2
Direct
0.817 0.486 0.634 Br
0.000 0.000 0.000 Br
0.000 0.500 0.000 Br
0.583 0.750 0.167 Br
0.817 0.014 0.634 Br
0.417 0.250 0.833 Br
0.183 0.514 0.366 Br
0.183 0.986 0.366 Br
0.347 0.750 0.693 Cs
0.653 0.250 0.307 Cs
0.906 0.250 0.811 Y
0.094 0.750 0.189 Y
```

Values from the calculation:
Volume = 503.0 Å³ per cell
Symmetry = No. 63
Total magnetization = 0.000 μB per atom
DOS at the Fermi energy = 0.00 states/eV per cell


version Q is the most stable structure; the next one sits 0.040 eV/atom above it.


Version P
Computed, not measured: crystalline Cs3YBr6 at its relaxed geometry at the PBE level of DFT.

POSCAR file:
```
Cs3YBr6
1.0
-2.066 -4.247 7.412
5.513 -5.987 3.316
4.398 1.707 7.415
Br Cs Y
6 3 1
Direct
0.775 0.775 0.225 Br
0.775 0.225 0.225 Br
0.225 0.775 0.225 Br
0.775 0.225 0.775 Br
0.225 0.225 0.775 Br
0.225 0.775 0.775 Br
0.500 0.500 0.500 Cs
0.750 0.750 0.750 Cs
0.250 0.250 0.250 Cs
0.000 0.000 0.000 Y
```

Values from the calculation:
Volume = 480.0 Å³ per cell
Symmetry = No. 225
Total magnetization = 0.000 μB per atom
DOS at the Fermi energy = 0.00 states/eV per cell


Version Q
Computed, not measured: crystalline Cs3YBr6 at its relaxed geometry at the PBE level of DFT.

POSCAR file:
```
Cs3YBr6
1.0
8.456 0.000 0.030
0.000 8.959 0.000
0.144 0.000 12.072
Br Cs Y
12 6 2
Direct
0.113 0.046 0.782 Br
0.387 0.546 0.718 Br
0.731 0.172 0.952 Br
0.662 0.238 0.567 Br
0.887 0.954 0.218 Br
0.769 0.672 0.548 Br
0.838 0.738 0.933 Br
0.338 0.762 0.433 Br
0.613 0.454 0.282 Br
0.231 0.328 0.452 Br
0.162 0.262 0.067 Br
0.269 0.828 0.048 Br
0.500 0.500 0.000 Cs
0.526 0.930 0.755 Cs
0.026 0.570 0.255 Cs
0.000 0.000 0.500 Cs
0.974 0.430 0.745 Cs
0.474 0.070 0.245 Cs
0.500 0.500 0.500 Y
0.000 0.000 0.000 Y
```

Values from the calculation:
Volume = 914.5 Å³ per cell
Symmetry = No. 14
Total magnetization = 0.000 μB per atom
DOS at the Fermi energy = 0.00 states/eV per cell


version Q is the most stable structure; the next one sits 0.044 eV/atom above it.


Version P
Computed, not measured: crystalline Cs2ZnBr at its relaxed geometry at the PBE level of DFT.

POSCAR file:
```
Cs2ZnBr
1.0
-4.383 -0.865 0.431
-0.370 -0.347 -4.460
1.827 -8.981 0.548
Cs Zn Br
2 1 1
Direct
0.000 0.000 0.770 Cs
0.000 0.000 0.230 Cs
0.500 0.500 0.500 Zn
0.500 0.500 0.000 Br
```

Values from the calculation:
Volume = 185.0 Å³ per cell
Symmetry = No. 123
Total magnetization = 0.001 μB per atom
DOS at the Fermi energy = 2.59 states/eV per cell


Version Q
Computed, not measured: crystalline Cs2ZnBr at its relaxed geometry at the PBE level of DFT.

POSCAR file:
```
Cs2ZnBr
1.0
0.000 4.546 4.546
4.546 0.000 4.546
4.546 4.546 0.000
Cs Br Zn
2 1 1
Direct
0.250 0.250 0.250 Cs
0.750 0.750 0.750 Cs
0.500 0.500 0.500 Br
0.000 0.000 0.000 Zn
```

Values from the calculation:
Volume = 187.9 Å³ per cell
Symmetry = No. 225
Total magnetization = 0.000 μB per atom
DOS at the Fermi energy = 5.13 states/eV per cell


version P is the most stable structure; the next one sits 0.105 eV/atom above it.


Version P
Computed, not measured: crystalline Cs2ZnBr2 at its relaxed geometry at the PBE level of DFT.

POSCAR file:
```
Cs2ZnBr2
1.0
6.917 0.000 0.000
0.000 6.917 0.000
3.458 3.458 7.106
Cs Zn Br
2 1 2
Direct
0.697 0.697 0.607 Cs
0.303 0.303 0.393 Cs
0.000 0.000 0.000 Zn
0.250 0.750 0.500 Br
0.750 0.250 0.500 Br
```

Values from the calculation:
Volume = 340.0 Å³ per cell
Symmetry = No. 139
Total magnetization = 0.000 μB per atom
DOS at the Fermi energy = 0.00 states/eV per cell


Version Q
Computed, not measured: crystalline Cs2ZnBr2 at its relaxed geometry at the PBE level of DFT.

POSCAR file:
```
Cs2ZnBr2
1.0
10.056 0.000 0.000
0.000 10.056 0.000
0.000 0.000 4.534
Br Cs Zn
4 4 2
Direct
0.655 0.845 0.500 Br
0.345 0.155 0.500 Br
0.155 0.655 0.500 Br
0.845 0.345 0.500 Br
0.356 0.856 0.000 Cs
0.144 0.356 0.000 Cs
0.856 0.644 0.000 Cs
0.644 0.144 0.000 Cs
0.500 0.500 0.000 Zn
0.000 0.000 0.000 Zn
```

Values from the calculation:
Volume = 458.5 Å³ per cell
Symmetry = No. 127
Total magnetization = 0.000 μB per atom
DOS at the Fermi energy = 0.00 states/eV per cell


version Q is the most stable structure; the next one sits 0.058 eV/atom above it.


Version P
Computed, not measured: crystalline CsZn2Br at its relaxed geometry at the PBE level of DFT.

POSCAR file:
```
CsZn2Br
1.0
1.808 -1.810 5.455
3.199 3.717 3.500
-2.495 2.377 4.943
Cs Br Zn
1 1 2
Direct
0.500 0.500 0.500 Cs
0.000 0.000 0.000 Br
0.750 0.750 0.750 Zn
0.250 0.250 0.250 Zn
```

Values from the calculation:
Volume = 154.7 Å³ per cell
Symmetry = No. 225
Total magnetization = 0.000 μB per atom
DOS at the Fermi energy = 0.00 states/eV per cell


Version Q
Computed, not measured: crystalline CsZn2Br at its relaxed geometry at the PBE level of DFT.

POSCAR file:
```
CsZn2Br
1.0
9.852 0.000 0.000
0.000 9.852 0.000
4.926 4.926 3.444
Cs Zn Br
2 4 2
Direct
0.750 0.250 0.500 Cs
0.000 0.000 0.000 Cs
0.375 0.415 0.750 Zn
0.585 0.125 0.250 Zn
0.875 0.835 0.750 Zn
0.165 0.625 0.250 Zn
0.250 0.750 0.500 Br
0.500 0.500 0.000 Br
```

Values from the calculation:
Volume = 334.3 Å³ per cell
Symmetry = No. 122
Total magnetization = 0.000 μB per atom
DOS at the Fermi energy = 0.00 states/eV per cell


version Q is the most stable structure; the next one sits 0.045 eV/atom above it.


Version P
Computed, not measured: crystalline CsZnBr2 at its relaxed geometry at the PBE level of DFT.

POSCAR file:
```
CsZnBr2
1.0
2.578 0.000 9.567
-1.289 2.233 9.567
-1.289 -2.233 9.567
Cs Br Zn
1 2 1
Direct
0.000 0.000 0.000 Cs
0.881 0.881 0.881 Br
0.119 0.119 0.119 Br
0.500 0.500 0.500 Zn
```

Values from the calculation:
Volume = 165.2 Å³ per cell
Symmetry = No. 166
Total magnetization = 0.000 μB per atom
DOS at the Fermi energy = 4.58 states/eV per cell


Version Q
Computed, not measured: crystalline CsZnBr2 at its relaxed geometry at the PBE level of DFT.

POSCAR file:
```
CsZnBr2
1.0
-5.506 -1.200 1.354
-3.878 -0.942 -4.202
-2.100 -5.332 -0.864
Br Cs Zn
2 1 1
Direct
0.750 0.750 0.750 Br
0.250 0.250 0.250 Br
0.500 0.500 0.500 Cs
0.000 0.000 0.000 Zn
```

Values from the calculation:
Volume = 137.6 Å³ per cell
Symmetry = No. 225
Total magnetization = 0.216 μB per atom
DOS at the Fermi energy = 2.16 states/eV per cell


version Q is the most stable structure; the next one sits 0.117 eV/atom above it.


Version P
Computed, not measured: crystalline CsZrBr4 at its relaxed geometry at the PBE level of DFT.

POSCAR file:
```
CsZrBr4
1.0
6.137 -0.748 -1.545
-3.417 7.990 -3.983
0.658 0.293 8.885
Br Cs Zr
8 2 2
Direct
0.066 0.187 0.879 Br
0.596 0.048 0.289 Br
0.807 0.759 0.711 Br
0.313 0.692 0.879 Br
0.193 0.241 0.289 Br
0.934 0.813 0.121 Br
0.687 0.308 0.121 Br
0.404 0.952 0.711 Br
0.611 0.361 0.723 Cs
0.389 0.639 0.277 Cs
0.750 0.000 0.999 Zr
0.250 0.000 0.001 Zr
```

Values from the calculation:
Volume = 431.7 Å³ per cell
Symmetry = No. 15
Total magnetization = 0.000 μB per atom


Version Q
Computed, not measured: crystalline CsZrBr4 at its relaxed geometry at the PBE level of DFT.

POSCAR file:
```
CsZrBr4
1.0
5.498 0.000 0.000
0.000 8.002 0.000
-2.749 0.000 10.414
Br Zr Cs
8 2 2
Direct
0.819 0.017 0.638 Br
0.583 0.750 0.166 Br
0.181 0.983 0.362 Br
0.000 0.000 0.000 Br
0.417 0.250 0.834 Br
0.819 0.483 0.638 Br
0.181 0.517 0.362 Br
0.000 0.500 0.000 Br
0.093 0.750 0.185 Zr
0.907 0.250 0.815 Zr
0.627 0.250 0.253 Cs
0.373 0.750 0.747 Cs
```

Values from the calculation:
Volume = 458.1 Å³ per cell
Symmetry = No. 63
Total magnetization = 0.169 μB per atom
DOS at the Fermi energy = 5.34 states/eV per cell


version P is the most stable structure; the next one sits 0.081 eV/atom above it.


Version P
Computed, not measured: crystalline Cu2Br3 at its relaxed geometry at the PBE level of DFT.

POSCAR file:
```
Cu2Br3
1.0
-1.390 -5.015 -6.838
9.362 1.509 -3.009
1.854 -4.976 3.273
Br Cu
12 8
Direct
0.340 0.441 0.296 Br
0.501 0.250 0.849 Br
0.840 0.441 0.204 Br
0.340 0.059 0.296 Br
0.999 0.750 0.349 Br
0.840 0.059 0.204 Br
0.499 0.750 0.151 Br
0.660 0.559 0.704 Br
0.160 0.559 0.796 Br
0.660 0.941 0.704 Br
0.001 0.250 0.651 Br
0.160 0.941 0.796 Br
0.081 0.750 0.994 Cu
0.419 0.250 0.494 Cu
0.919 0.250 0.006 Cu
0.000 0.000 0.500 Cu
0.500 0.500 0.000 Cu
0.500 0.000 0.000 Cu
0.581 0.750 0.506 Cu
0.000 0.500 0.500 Cu
```

Values from the calculation:
Volume = 533.2 Å³ per cell
Symmetry = No. 62
Total magnetization = 0.000 μB per atom
DOS at the Fermi energy = 5.76 states/eV per cell


Version Q
Computed, not measured: crystalline Cu2Br3 at its relaxed geometry at the PBE level of DFT.

POSCAR file:
```
Cu2Br3
1.0
2.081 6.393 2.256
6.720 2.257 0.166
2.675 5.095 -4.144
Br Cu
6 4
Direct
0.750 0.431 0.069 Br
0.069 0.750 0.431 Br
0.569 0.931 0.250 Br
0.431 0.069 0.750 Br
0.250 0.569 0.931 Br
0.931 0.250 0.569 Br
0.841 0.841 0.841 Cu
0.341 0.341 0.341 Cu
0.159 0.159 0.159 Cu
0.659 0.659 0.659 Cu
```

Values from the calculation:
Volume = 223.3 Å³ per cell
Symmetry = No. 167
Total magnetization = 0.200 μB per atom
DOS at the Fermi energy = 6.89 states/eV per cell


Version R
Computed, not measured: crystalline Cu2Br3 at its relaxed geometry at the PBE level of DFT.

POSCAR file:
```
Cu2Br3
1.0
3.727 0.000 0.000
0.000 3.487 -6.112
0.000 3.487 6.112
Cu Br
2 3
Direct
0.500 0.085 0.915 Cu
0.000 0.435 0.565 Cu
0.000 0.206 0.794 Br
0.500 0.212 0.310 Br
0.500 0.690 0.788 Br
```

Values from the calculation:
Volume = 158.9 Å³ per cell
Symmetry = No. 38
Total magnetization = 0.000 μB per atom
DOS at the Fermi energy = 4.59 states/eV per cell


Version S
Computed, not measured: crystalline Cu2Br3 at its relaxed geometry at the PBE level of DFT.

POSCAR file:
```
Cu2Br3
1.0
6.949 -0.007 -0.029
0.322 10.567 0.073
0.015 -0.030 3.849
Br Cu
6 4
Direct
0.497 0.647 0.921 Br
0.331 0.337 0.421 Br
0.994 0.651 0.420 Br
0.679 0.979 0.420 Br
0.159 0.031 0.921 Br
0.823 0.334 0.922 Br
0.323 0.567 0.420 Cu
0.488 0.996 0.920 Cu
0.834 0.557 0.919 Cu
0.150 0.259 0.921 Cu
```

Values from the calculation:
Volume = 282.7 Å³ per cell
Symmetry = No. 1
Total magnetization = 0.000 μB per atom
DOS at the Fermi energy = 10.79 states/eV per cell


version S is the most stable structure; the next one sits 0.014 eV/atom above it.


Version P
Computed, not measured: crystalline Cu2Br3 at its relaxed geometry at the PBE level of DFT.

POSCAR file:
```
Cu2Br3
1.0
3.510 -5.930 2.490
6.832 -2.072 -1.649
5.765 -0.113 4.521
Cu Br
4 6
Direct
0.246 0.246 0.246 Cu
0.746 0.746 0.746 Cu
0.496 0.496 0.496 Cu
0.996 0.996 0.996 Cu
0.247 0.887 0.605 Br
0.387 0.747 0.105 Br
0.605 0.247 0.887 Br
0.887 0.605 0.247 Br
0.747 0.105 0.387 Br
0.105 0.387 0.747 Br
```

Values from the calculation:
Volume = 233.8 Å³ per cell
Symmetry = No. 167
Total magnetization = 0.000 μB per atom
DOS at the Fermi energy = 7.83 states/eV per cell


Version Q
Computed, not measured: crystalline Cu2Br3 at its relaxed geometry at the PBE level of DFT.

POSCAR file:
```
Cu2Br3
1.0
-3.678 1.317 0.940
0.761 -1.362 -3.703
-4.613 -16.554 5.142
Br Cu
6 4
Direct
0.000 0.000 0.250 Br
0.333 0.667 0.575 Br
0.667 0.333 0.075 Br
0.000 0.000 0.750 Br
0.667 0.333 0.425 Br
0.333 0.667 0.925 Br
0.667 0.333 0.250 Cu
0.333 0.667 0.750 Cu
0.000 0.000 0.000 Cu
0.000 0.000 0.500 Cu
```

Values from the calculation:
Volume = 250.8 Å³ per cell
Symmetry = No. 194
Total magnetization = 0.170 μB per atom
DOS at the Fermi energy = 14.96 states/eV per cell


Version R
Computed, not measured: crystalline Cu2Br3 at its relaxed geometry at the PBE level of DFT.

POSCAR file:
```
Cu2Br3
1.0
-0.179 5.726 -0.187
-1.234 -2.717 6.270
3.895 0.111 -0.420
Br Cu
3 2
Direct
0.454 0.013 0.332 Br
0.792 0.670 0.663 Br
0.131 0.352 0.001 Br
0.374 0.334 0.490 Cu
0.055 0.690 0.173 Cu
```

Values from the calculation:
Volume = 134.9 Å³ per cell
Symmetry = No. 1
Total magnetization = 0.000 μB per atom
DOS at the Fermi energy = 6.76 states/eV per cell


version R is the most stable structure; the next one sits 0.078 eV/atom above it.


Version P
Computed, not measured: crystalline Cu2Br3 at its relaxed geometry at the PBE level of DFT.

POSCAR file:
```
Cu2Br3
1.0
-3.273 1.626 3.250
-3.566 -0.598 -3.293
-0.928 -6.087 2.111
Br Cu
3 2
Direct
0.500 0.000 0.377 Br
0.000 0.000 0.860 Br
0.000 0.500 0.377 Br
0.000 0.000 0.212 Cu
0.500 0.500 0.438 Cu
```

Values from the calculation:
Volume = 155.7 Å³ per cell
Symmetry = No. 99
Total magnetization = 0.127 μB per atom
DOS at the Fermi energy = 5.75 states/eV per cell


Version Q
Computed, not measured: crystalline Cu2Br3 at its relaxed geometry at the PBE level of DFT.

POSCAR file:
```
Cu2Br3
1.0
-19.057 -7.519 -8.136
-6.931 0.602 -5.286
8.458 -0.909 1.993
Cu Br
4 6
Direct
0.522 0.105 0.895 Cu
0.894 0.898 0.102 Cu
0.478 0.895 0.105 Cu
0.106 0.102 0.898 Cu
0.979 0.380 0.620 Br
0.643 0.155 0.845 Br
0.021 0.620 0.380 Br
0.357 0.845 0.155 Br
0.674 0.384 0.616 Br
0.326 0.616 0.384 Br
```

Values from the calculation:
Volume = 291.2 Å³ per cell
Symmetry = No. 12
Total magnetization = 0.146 μB per atom
DOS at the Fermi energy = 8.34 states/eV per cell


version Q is the most stable structure; the next one sits 0.181 eV/atom above it.